[1]
## FeC (PBE)

Data for a relaxed FeC crystal.

Values from the calculation:
Formation energy from the elements   1.5 eV/f.u.

Unit cell a=5.841 b=5.841 c=5.841 alpha=90.00 beta=90.00 gamma=90.00
Each line ends with the local moment (μB).
Fractional positions:
C 0.168 0.832 0.832  -0.05
C 0.332 0.668 0.332  -0.05
C 0.168 0.168 0.168  -0.05
C 0.832 0.832 0.168  -0.05
C 0.668 0.668 0.668  -0.05
C 0.668 0.332 0.332  -0.05
C 0.332 0.332 0.668  -0.05
C 0.832 0.168 0.832  -0.05
Fe 0.652 0.348 0.652  0.62
Fe 0.652 0.652 0.348  0.62
Fe 0.848 0.152 0.152  0.62
Fe 0.348 0.348 0.348  0.62
Fe 0.152 0.152 0.848  0.62
Fe 0.848 0.848 0.848  0.62
Fe 0.348 0.652 0.652  0.62
Fe 0.152 0.848 0.152  0.62

=====

[2]
## FeC3 (PBE)

Data for a relaxed FeC3 crystal.

Values from the calculation:
Polymorph energy (0 for the lowest one)   388 meV per atom
Formation energy from the elements   3.8 eV/f.u.

Unit cell a=5.230 b=2.594 c=5.786 alpha=90.00 beta=108.98 gamma=90.00
Fractional positions:
Fe 0.009 0.000 0.809
Fe 0.009 0.500 0.309
C 0.464 0.500 0.709
C 0.195 0.000 0.157
C 0.464 0.000 0.209
C 0.725 0.500 0.773
C 0.195 0.500 0.657
C 0.725 0.000 0.273

=====

[3]
## Fe2C3 (PBE)

Data for a relaxed Fe2C3 crystal.

Values from the calculation:
Polymorph energy (0 for the lowest one)   86 meV per atom
Formation energy from the elements   2.7 eV/f.u.

Unit cell a=11.011 b=11.011 c=11.011 alpha=13.33 beta=13.33 gamma=13.33
Each line ends with the local moment (μB).
Fractional positions:
Fe 0.370 0.370 0.370  1.55
Fe 0.630 0.630 0.630  1.55
C 0.000 0.000 0.000  -0.12
C 0.167 0.167 0.167  0.00
C 0.833 0.833 0.833  0.00